Record 1
Density functional theory data (PBE) for Li3Ir2 after structural relaxation.

Cell: 11.4998 11.4998 11.4998 Å, 13.37 13.37 13.37°
With the nearest neighbours (Å) after each atom.
Positions (direct):
Ir1 0.6018 0.6018 0.6018  6 Li 2.67-2.70, 6 Ir 2.68
Ir2 0.3982 0.3982 0.3982  6 Li 2.67-2.70, 6 Ir 2.68
Li1 0.0000 0.0000 0.0000  6 Li 2.68, 6 Ir 2.70
Li2 0.2048 0.2048 0.2048  3 Ir 2.67, 6 Li 2.68
Li3 0.7952 0.7952 0.7952  3 Ir 2.67, 6 Li 2.68

Summary:
For the distance to the lowest polymorph of the same formula, the calculation gives 0 meV per atom. Its calculated formation energy is -0.19 eV per atom.

Record 2
Density functional theory data (PBE) for LiIr2 after structural relaxation.

Cell: 6.2575 6.2575 6.2575 Å, 155.04 155.04 35.59°
With the nearest neighbours (Å) after each atom.
Positions (direct):
Ir1 0.3259 0.3259 0.0000  8 Ir 2.63-2.70, 4 Li 2.82
Ir2 0.6741 0.6741 0.0000  8 Ir 2.63-2.70, 4 Li 2.82
Li1 0.0000 0.0000 0.0000  4 Li 2.70, 8 Ir 2.82

Summary:
Its calculated formation energy is 0.02 eV per atom.

Record 3
Density functional theory data (PBE) for Li2Ir3 after structural relaxation.

Cell: 11.3315 11.3315 11.3315 Å, 13.65 13.65 13.65°
With the nearest neighbours (Å) after each atom.
Positions (direct):
Li1 0.3990 0.3990 0.3990  6 Li 2.69, 6 Ir 2.70-2.77
Li2 0.6010 0.6010 0.6010  6 Li 2.69, 6 Ir 2.70-2.77
Ir1 0.0000 0.0000 0.0000  6 Ir 2.69, 6 Li 2.70
Ir2 0.8006 0.8006 0.8006  9 Ir 2.69-2.70, 3 Li 2.77
Ir3 0.1994 0.1994 0.1994  9 Ir 2.69-2.70, 3 Li 2.77

Summary:
Its calculated formation energy is -0.08 eV per atom.

Record 4
Density functional theory data (PBE) for Li3Ir after structural relaxation.

Cell: 5.0699 5.0699 5.0699 Å, 117.23 117.23 117.23°
With the nearest neighbours (Å) after each atom.
Positions (direct):
Ir1 0.0000 0.0000 0.0000  2 Ir 2.56, 6 Li 2.64
Li1 0.5000 0.5000 0.0000  6 Li 2.56-2.64, 2 Ir 2.64
Li2 0.0000 0.5000 0.5000  6 Li 2.56-2.64, 2 Ir 2.64
Li3 0.5000 0.0000 0.5000  6 Li 2.56-2.64, 2 Ir 2.64

Summary:
Its calculated formation energy is -0.11 eV per atom.